4
Lattice="3.362 0.000 0.000 1.681 2.911 0.000 1.681 0.970 11.570" Properties=species:S:1:pos:R:3 comment="SmCd2Sn PBE optimized geometry" formation_enthalpy_0k_mev_per_atom=165 e_above_lowest_polymorph_mev_per_atom=616.6 pbc="T T T"
Sn 3.362 1.941 5.785
Sm 0.000 0.000 0.000
Cd 1.681 0.970 8.404
Cd 5.043 2.911 3.166

9
Lattice="-1.197 -1.546 -4.376 6.038 -1.032 1.338 -5.449 -6.519 3.794" Properties=species:S:1:pos:R:3 comment="Sm3Cd4Sn2 PBE optimized geometry" formation_enthalpy_0k_mev_per_atom=-477 pbc="T T T"
Sm -2.215 -5.660 -0.019
Sm 0.000 0.000 0.000
Sm 1.607 -3.437 0.775
Cd 1.697 -2.171 -2.322
Cd -2.304 -6.926 3.078
Cd 1.204 -6.746 -0.570
Cd -1.811 -2.351 1.326
Sn -0.886 -2.976 -1.331
Sn 0.279 -6.121 2.087

7
Lattice="-5.119 1.085 -0.918 -3.695 -3.725 0.830 -3.830 1.827 8.146" Properties=species:S:1:pos:R:3 comment="Sm4Cd2Sn PBE optimized geometry" formation_enthalpy_0k_mev_per_atom=-257 pbc="T T T"
Sn 0.000 0.000 0.000
Sm -9.159 -1.595 3.066
Sm -3.486 0.782 4.991
Sm -6.004 -1.373 1.109
Sm -6.641 0.560 6.949
Cd -9.484 -0.608 6.048
Cd -3.161 -0.205 2.010

4
Lattice="5.835 0.000 0.000 0.000 4.470 2.581 0.000 0.000 5.162" Properties=species:S:1:pos:R:3 comment="SmCd2Sn PBE optimized geometry" formation_enthalpy_0k_mev_per_atom=366 e_above_lowest_polymorph_mev_per_atom=817.6 pbc="T T T"
Sm 0.000 0.000 0.000
Cd 2.918 0.000 0.000
Cd 2.918 1.490 2.581
Sn 2.918 2.980 5.162

12
Lattice="-4.107 -3.984 -0.772 5.591 -5.145 -3.199 -0.820 -0.738 8.170" Properties=species:S:1:pos:R:3 comment="Sm2CdSn3 PBE optimized geometry" formation_enthalpy_0k_mev_per_atom=-292 pbc="T T T"
Sm -0.681 -5.446 -0.659
Sm 1.345 -4.421 4.858
Sm 3.178 -5.681 1.608
Sm -2.514 -4.186 2.591
Cd 1.234 -8.307 3.916
Cd -0.569 -1.560 0.283
Sn 0.937 -3.417 1.852
Sn -0.272 -6.450 2.347
Sn -1.672 -3.556 5.653
Sn 0.382 -1.564 6.039
Sn 2.336 -6.311 -1.454
Sn 4.390 -4.319 -1.068

18
Lattice="-1.571 8.773 -0.943 -3.328 -4.127 -7.226 -3.895 -3.064 7.468" Properties=species:S:1:pos:R:3 comment="Sm6Cd2Sn PBE optimized geometry" formation_enthalpy_0k_mev_per_atom=-250 pbc="T T T"
Sm -6.515 -0.672 0.303
Sm -2.278 2.255 -1.004
Sm -4.219 -2.850 4.132
Sm -4.574 4.432 -4.833
Sm -5.869 2.271 -2.063
Sm -2.924 -0.689 1.362
Sm -6.477 -4.226 1.481
Sm -2.317 5.808 -2.182
Sm -5.130 2.668 1.417
Sm -3.663 -1.086 -2.119
Sm -6.194 -3.605 -2.034
Sm -2.599 5.188 1.333
Cd -5.350 0.250 3.350
Cd -3.444 1.333 -4.051
Cd -3.490 3.646 4.166
Cd -1.976 2.064 2.358
Sn -3.611 -3.595 0.121
Sn 0.000 0.000 0.000